The following is a PBE-GGA calculation of CeNbAl after structural relaxation, from the Alexandria database.

Results
For the energy above the most stable polymorph in this dataset, the calculation gives 55 kJ/mol of formula units.

Unit cell a=4.9800 b=4.9800 c=2.9656 alpha=90.00 beta=90.00 gamma=120.00
Atoms (fractional coordinates):
Ce: 0.0000 0.0000 0.0000
Nb: 0.6667 0.3333 0.5038
Al: 0.3333 0.6667 0.4962



The following is a PBE-GGA calculation of CeNbAl4 after structural relaxation, from the Alexandria database.

Unit cell a=5.3984 b=5.3984 c=5.3984 alpha=60.00 beta=60.00 gamma=60.00
Atoms (fractional coordinates):
Ce: 0.0000 0.0000 0.0000
Nb: 0.2500 0.2500 0.2500
Al: 0.1263 0.6246 0.6246
Al: 0.6246 0.1263 0.6246
Al: 0.6246 0.6246 0.1263
Al: 0.6246 0.6246 0.6246



The following is a PBE-GGA calculation of CeNbAl after structural relaxation, from the Alexandria database.

Results
For the energy above the most stable polymorph in this dataset, the calculation gives 0 kJ/mol of formula units.

Unit cell a=7.3385 b=7.3385 c=7.3385 alpha=156.82 beta=156.82 gamma=33.01
Atoms (fractional coordinates):
Ce: 0.0000 0.0000 0.0000
Nb: 0.6853 0.6853 0.0000
Al: 0.3243 0.3243 0.0000



no.,electronic total energy (eV per atom),calculated formation energy (eV per atom)
1,-6.501,0.0808
2,-5.431,-0.2686
3,-6.692,-0.1100